# Ac14LaNd

A relaxed structure of Ac14LaNd (PBE, the Alexandria database).

abc: 7.9142 7.9142 11.2782
angles: 90.00 90.00 89.99
Closest atoms and distances in Å follow each position.
Element x y z (fractional)
1 Ac 0.1246 0.8754 0.2442  1 Nd 3.92, 1 La 3.93, 10 Ac 3.94-4.02
2 Ac 0.3738 0.1239 0.5000  12 Ac 3.95-4.01
3 Ac 0.6255 0.3745 0.2463  10 Ac 3.93-4.01, 1 Nd 3.94, 1 La 3.95
4 Ac 0.1247 0.3747 0.2453  1 Nd 3.93, 10 Ac 3.93-4.01, 1 La 3.94
5 Ac 0.8761 0.6262 0.5000  12 Ac 3.95-4.01
6 Ac 0.3763 0.1264 0.0000  8 Ac 3.93-3.94, 2 Nd 3.95-3.97, 2 La 3.95-3.97
7 Ac 0.6253 0.8753 0.7547  1 Nd 3.93, 10 Ac 3.93-4.01, 1 La 3.94
8 Ac 0.1247 0.3747 0.7547  1 Nd 3.93, 10 Ac 3.93-4.01, 1 La 3.94
9 Ac 0.6253 0.8753 0.2453  1 Nd 3.93, 10 Ac 3.93-4.01, 1 La 3.94
10 Ac 0.8736 0.6237 0.0000  8 Ac 3.93-3.94, 2 Nd 3.95-3.97, 2 La 3.95-3.97
11 Ac 0.1246 0.8754 0.7558  1 Nd 3.92, 1 La 3.93, 10 Ac 3.94-4.02
12 Ac 0.8749 0.1251 0.5000  12 Ac 3.95-4.02
13 Ac 0.3752 0.6248 0.5000  12 Ac 3.95-4.02
14 Ac 0.6255 0.3745 0.7537  10 Ac 3.93-4.01, 1 Nd 3.94, 1 La 3.95
15 La 0.3748 0.6252 0.0000  12 Ac 3.93-3.97
16 Nd 0.8751 0.1249 0.0000  12 Ac 3.92-3.97

Magnetization ... 0.00 μB/f.u.
DFT total energy ... -0.154 hartree per atom



# Ac15La4Nd

A relaxed structure of Ac15La4Nd (PBE, the Alexandria database).

abc: 5.5619 5.5619 27.7881
angles: 90.00 90.00 90.00
Closest atoms and distances in Å follow each position.
Element x y z (fractional)
1 Ac 0.5000 0.5000 0.0000  8 Ac 3.92, 4 Nd 3.93
2 Ac 0.5000 0.5000 0.3998  4 La 3.93, 8 Ac 3.93-3.94
3 Ac 0.0000 0.5000 0.2997  4 La 3.93-3.94, 8 Ac 3.93-3.94
4 Ac 0.0000 0.5000 0.5000  8 Ac 3.93-3.94, 4 La 3.94
5 Ac 0.5000 0.5000 0.6002  4 La 3.93, 8 Ac 3.93-3.94
6 Ac 0.0000 0.5000 0.0992  8 Ac 3.92-3.93, 2 Nd 3.92, 2 La 3.94
7 Ac 0.5000 0.0000 0.2997  4 La 3.93-3.94, 8 Ac 3.93-3.94
8 Ac 0.5000 0.5000 0.1991  8 Ac 3.93-3.94, 4 La 3.93
9 Ac 0.0000 0.5000 0.7003  4 La 3.93-3.94, 8 Ac 3.93-3.94
10 Ac 0.5000 0.5000 0.8009  8 Ac 3.93-3.94, 4 La 3.93
11 Ac 0.5000 0.0000 0.9008  8 Ac 3.92-3.93, 2 Nd 3.92, 2 La 3.94
12 Ac 0.5000 0.0000 0.7003  4 La 3.93-3.94, 8 Ac 3.93-3.94
13 Ac 0.5000 0.0000 0.0992  8 Ac 3.92-3.93, 2 Nd 3.92, 2 La 3.94
14 Ac 0.0000 0.5000 0.9008  8 Ac 3.92-3.93, 2 Nd 3.92, 2 La 3.94
15 Ac 0.5000 0.0000 0.5000  8 Ac 3.93-3.94, 4 La 3.94
16 La 0.0000 0.0000 0.3998  12 Ac 3.93-3.94
17 La 0.0000 0.0000 0.6002  12 Ac 3.93-3.94
18 La 0.0000 0.0000 0.1995  12 Ac 3.93-3.94
19 La 0.0000 0.0000 0.8005  12 Ac 3.93-3.94
20 Nd 0.0000 0.0000 0.0000  12 Ac 3.92-3.93

Magnetization ... 0.00 μB/f.u.
DFT total energy ... -0.157 hartree per atom



# Ac3La7Nd2

A relaxed structure of Ac3La7Nd2 (PBE, the Alexandria database).

abc: 3.7890 6.2081 20.4948
angles: 104.67 90.00 90.00
Closest atoms and distances in Å follow each position.
Element x y z (fractional)
1 Ac 0.0000 0.1385 0.3636  2 Ac 3.79, 4 Nd 3.88-3.90, 8 La 3.92-4.20
2 Ac 0.5000 0.5000 0.0000  10 La 3.64-4.02, 2 Ac 3.79
3 Ac 0.0000 0.8615 0.6364  2 Ac 3.79, 4 Nd 3.88-3.90, 8 La 3.92-4.20
4 Nd 0.5000 0.4214 0.7061  3 La 3.36-3.47
5 Nd 0.5000 0.5786 0.2939  3 La 3.36-3.47
6 La 0.0000 0.4447 0.1472  2 Nd 3.47, 7 La 3.54-3.79, 2 Ac 3.65
7 La 0.5000 0.7165 0.4633  1 Nd 3.36, 2 La 3.40-3.46
8 La 0.5000 0.2835 0.5367  1 Nd 3.36, 2 La 3.40-3.46
9 La 0.5000 0.9748 0.1745  6 La 3.64-3.79, 2 Nd 3.88-3.92, 1 Ac 4.02
10 La 0.5000 0.0252 0.8255  6 La 3.64-3.79, 2 Nd 3.88-3.92, 1 Ac 4.02
11 La 0.0000 0.5553 0.8528  2 Nd 3.47, 7 La 3.54-3.79, 2 Ac 3.65
12 La 0.0000 0.0000 0.0000  4 La 3.54-3.79, 4 Ac 3.64

Magnetization ... 0.00 μB/f.u.
DFT total energy ... -0.170 hartree per atom



# AcLaNd4

A relaxed structure of AcLaNd4 (PBE, the Alexandria database).

abc: 6.8958 6.8958 11.0124
angles: 90.00 90.00 121.03
Closest atoms and distances in Å follow each position.
Element x y z (fractional)
1 Nd 0.3494 0.1875 0.2500  1 Nd 3.14, 1 La 3.19, 2 Ac 3.44
2 Nd 0.1875 0.3494 0.7500  1 Nd 3.14, 1 La 3.19, 2 Ac 3.44
3 Nd 0.8125 0.6506 0.2500  1 Nd 3.14, 1 La 3.19, 2 Ac 3.44
4 Nd 0.6717 0.3283 0.5721  9 Nd 3.92-4.19, 3 La 3.92-3.93, 3 Ac 4.02-4.05
5 Nd 0.3283 0.6717 0.4279  9 Nd 3.92-4.19, 3 La 3.92-3.93, 3 Ac 4.02-4.05
6 Nd 0.6506 0.8125 0.7500  1 Nd 3.14, 1 La 3.19, 2 Ac 3.44
7 Nd 0.3283 0.6717 0.0721  9 Nd 3.92-4.19, 3 La 3.92-3.93, 3 Ac 4.02-4.05
8 Nd 0.6717 0.3283 0.9279  9 Nd 3.92-4.19, 3 La 3.92-3.93, 3 Ac 4.02-4.05
9 Ac 0.0000 0.0000 0.5000  4 Nd 3.44, 2 La 3.56
10 Ac 0.0000 0.0000 0.0000  4 Nd 3.44, 2 La 3.56
11 La 0.8126 0.1874 0.2500  2 Nd 3.19, 2 Ac 3.56
12 La 0.1874 0.8126 0.7500  2 Nd 3.19, 2 Ac 3.56

Energy relative to the lowest polymorph listed for this composition ... 1.15 eV per formula unit
Magnetization ... 0.00 μB/f.u.



# Ac5La3Nd4

A relaxed structure of Ac5La3Nd4 (PBE, the Alexandria database).

abc: 7.6569 9.3678 13.8358
angles: 132.89 123.83 89.70
Closest atoms and distances in Å follow each position.
Element x y z (fractional)
1 Nd 0.1663 0.3281 0.1673  3 La 3.74-3.81, 4 Nd 3.74-3.83, 5 Ac 3.83-3.89
2 Nd 0.8337 0.6719 0.8327  3 La 3.74-3.81, 4 Nd 3.74-3.83, 5 Ac 3.83-3.89
3 Nd 0.0863 0.1663 0.3317  4 La 3.75-3.91, 3 Nd 3.76-3.83, 5 Ac 3.78-3.90
4 Nd 0.9137 0.8337 0.6683  4 La 3.75-3.91, 3 Nd 3.76-3.83, 5 Ac 3.78-3.90
5 Ac 0.7513 0.4999 0.0009  6 Ac 3.82-3.88, 3 La 3.83-3.84, 3 Nd 3.83-3.89
6 Ac 0.2487 0.5001 0.9991  6 Ac 3.82-3.88, 3 La 3.83-3.84, 3 Nd 3.83-3.89
7 Ac 0.5000 0.0000 0.5000  4 Nd 3.82-3.87, 4 La 3.83, 4 Ac 3.83-3.84
8 Ac 0.3251 0.6616 0.8241  5 Nd 3.78-3.90, 4 La 3.79-3.92, 3 Ac 3.84-3.88
9 Ac 0.6749 0.3384 0.1759  5 Nd 3.78-3.90, 4 La 3.79-3.92, 3 Ac 3.84-3.88
10 La 0.5773 0.1685 0.3334  6 Nd 3.74-3.91, 5 Ac 3.79-3.92, 1 La 3.86
11 La 0.0000 0.0000 0.5000  8 Ac 3.82-3.84, 2 La 3.86, 2 Nd 3.87
12 La 0.4227 0.8315 0.6666  6 Nd 3.74-3.91, 5 Ac 3.79-3.92, 1 La 3.86

Magnetization ... 0.00 μB/f.u.
DFT total energy ... -0.165 hartree per atom



# Ac4La3Nd

A relaxed structure of Ac4La3Nd (PBE, the Alexandria database).

abc: 3.6995 9.5302 9.5302
angles: 97.83 90.00 90.00
Closest atoms and distances in Å follow each position.
Element x y z (fractional)
1 Ac 0.5000 0.7500 0.2500  5 La 3.59-3.64, 1 Nd 3.59, 2 Ac 3.70
2 Ac 0.0000 0.2496 0.2496  4 La 3.59-3.64, 2 Nd 3.63, 2 Ac 3.70
3 Ac 0.0000 0.7504 0.7504  4 La 3.59-3.64, 2 Nd 3.63, 2 Ac 3.70
4 Ac 0.5000 0.2500 0.7500  5 La 3.59-3.64, 1 Nd 3.59, 2 Ac 3.70
5 La 0.0000 0.5000 0.0000  6 Ac 3.59-3.64, 2 La 3.70
6 La 0.0000 0.0000 0.5000  6 Ac 3.59-3.64, 2 La 3.70
7 La 0.5000 0.5000 0.5000  6 Ac 3.59-3.64, 2 La 3.70
8 Nd 0.5000 0.0000 0.0000  6 Ac 3.59-3.63, 2 Nd 3.70

Energy relative to the lowest polymorph listed for this composition ... 2.69 eV per formula unit
Magnetization ... 0.02 μB/f.u.



# AcLa2Nd7

A relaxed structure of AcLa2Nd7 (PBE, the Alexandria database).

abc: 5.8289 8.7998 8.8835
angles: 117.26 109.30 89.69
Closest atoms and distances in Å follow each position.
Element x y z (fractional)
1 Nd 0.8733 0.3958 0.7476  4 Nd 3.45-3.84, 2 La 3.50-3.51
2 Nd 0.3864 0.7131 0.7683  2 Nd 3.27-3.29, 3 La 3.37-3.60
3 Nd 0.1267 0.6042 0.2524  4 Nd 3.45-3.84, 2 La 3.50-3.51
4 Nd 0.5000 0.5000 0.0000  8 Nd 3.29-3.58
5 Nd 0.6556 0.9564 0.3095  2 Nd 3.27-3.58, 1 La 3.32
6 Nd 0.3444 0.0436 0.6905  2 Nd 3.27-3.58, 1 La 3.32
7 Nd 0.6136 0.2869 0.2317  2 Nd 3.27-3.29, 3 La 3.37-3.60
8 La 0.7607 0.7178 0.5183  6 Nd 3.32-3.60, 1 Ac 3.57
9 La 0.2393 0.2822 0.4817  6 Nd 3.32-3.60, 1 Ac 3.57
10 Ac 0.0000 0.0000 0.0000  2 La 3.57, 4 Nd 3.73

Energy relative to the lowest polymorph listed for this composition ... 0.00 eV per formula unit
Magnetization ... 0.00 μB/f.u.



# AcLa3Nd3

A relaxed structure of AcLa3Nd3 (PBE, the Alexandria database).

abc: 13.6278 13.1666 6.9633
angles: 103.10 98.44 115.18
Closest atoms and distances in Å follow each position.
Element x y z (fractional)
1 Nd 0.2909 0.2875 0.6717  3 La 3.34-3.47, 1 Nd 3.55
2 Nd 0.4443 0.4797 0.2504  4 La 3.27-3.60
3 Nd 0.5556 0.0350 0.8093  4 La 3.27-3.60
4 Nd 0.4457 0.7169 0.0327  5 La 3.35-3.63, 2 Nd 3.57-3.65
5 Nd 0.2464 0.5158 0.5528  6 La 3.42-3.75, 3 Nd 3.55-3.77
6 Nd 0.7542 0.2702 0.3089  6 La 3.42-3.75, 3 Nd 3.55-3.77
7 Nd 0.2223 0.7276 0.2558  7 La 3.49-3.89, 3 Nd 3.65-3.73
8 Nd 0.7092 0.9970 0.3799  3 La 3.34-3.48, 1 Nd 3.55
9 Nd 0.9997 0.7424 0.4961  3 La 3.43-3.75, 3 Ac 3.55-3.73, 3 Nd 3.68-3.73
10 Nd 0.5543 0.2710 0.5884  5 La 3.35-3.64, 2 Nd 3.57-3.65
11 Nd 0.7775 0.5056 0.0336  7 La 3.49-3.89, 3 Nd 3.65-3.72
12 Nd 0.0000 0.5339 0.7692  6 La 3.59-3.68, 5 Nd 3.68-3.95, 1 Ac 3.88
13 La 0.4595 0.0028 0.2459  5 Nd 3.35-3.71, 2 La 3.44-3.62
14 La 0.2517 0.8028 0.8047  6 Nd 3.43-3.75, 2 La 3.44-3.55
15 La 0.1646 0.4069 0.9848  1 La 3.24, 2 Nd 3.47-3.59
16 La 0.7481 0.5512 0.5534  6 Nd 3.43-3.75, 2 La 3.43-3.55
17 La 0.4786 0.7610 0.5467  6 Nd 3.27-3.62, 1 Ac 3.66
18 La 0.9999 0.4602 0.2346  3 La 3.23-3.42, 5 Nd 3.42-3.59
19 La 0.7231 0.7439 0.2888  2 Nd 3.34-3.66, 2 La 3.55-3.62
20 La 0.5219 0.2826 0.0700  6 Nd 3.27-3.62, 1 Ac 3.65
21 La 0.8341 0.2417 0.8228  1 La 3.23, 2 Nd 3.48-3.58
22 La 0.5405 0.5437 0.7842  5 Nd 3.35-3.72, 2 La 3.43-3.62
23 La 0.0002 0.2122 0.3094  1 La 3.42, 1 Ac 3.60, 2 Nd 3.74
24 La 0.2771 0.0209 0.5664  2 Nd 3.34-3.67, 2 La 3.55-3.62
25 Ac 0.0004 0.8252 0.0448  4 Nd 3.55-3.98, 2 Ac 3.82
26 Ac 0.7678 0.9013 0.8717  4 La 3.66-4.07, 2 Ac 3.79-3.82, 3 Nd 3.80-4.00
27 Ac 0.2326 0.1339 0.1044  4 La 3.65-4.07, 2 Ac 3.79-3.82, 3 Nd 3.80-3.99
28 Ac 0.0000 0.0272 0.6182  3 La 3.60-3.88, 3 Nd 3.65-3.88, 2 Ac 3.79

Energy relative to the lowest polymorph listed for this composition ... 0.42 eV per formula unit
Magnetization ... 0.00 μB/f.u.



Number 1: density 8.1 Mg/m³. Number 2: density 7.9 Mg/m³. Number 3: density 6.9 Mg/m³. Number 4: density 7.0 Mg/m³. Number 5: density 7.4 Mg/m³. Number 6: density 7.3 Mg/m³. Number 7: density 6.7 Mg/m³. Number 8: density 6.8 Mg/m³.